The following is a PBE-GGA calculation of a geometry-optimized Li3NdMg3 structure, from Alexandria.

Properties
As for the crystal system: cubic. As for the final energy: -1.801 eV per atom. For the energy of formation, the calculation gives 0.383 eV/atom. The magnetic moment is 0.00 μB/cell.

Geometry as POSCAR:
```
Li3NdMg3
1.0
7.0926 0.0000 0.0000
0.0000 7.0926 0.0000
0.0000 0.0000 7.0926
Li Nd Mg
6 2 6
Direct
0.0000 0.2500 0.5000
0.0000 0.7500 0.5000
0.2500 0.5000 0.0000
0.5000 0.0000 0.2500
0.5000 0.0000 0.7500
0.7500 0.5000 0.0000
0.0000 0.0000 0.0000
0.5000 0.5000 0.5000
0.0000 0.5000 0.2500
0.0000 0.5000 0.7500
0.2500 0.0000 0.5000
0.5000 0.2500 0.0000
0.5000 0.7500 0.0000
0.7500 0.0000 0.5000
```


The following is a PBE-GGA calculation of a geometry-optimized LiNdMg structure, from Alexandria.

Properties
As for the crystal system: monoclinic. As for the final energy: -2.787 eV per atom. For the energy of formation, the calculation gives -0.028 eV/atom. The magnetic moment is 0.00 μB/cell. For the energy above the most stable polymorph in this dataset, the calculation gives 0.00 kcal/mol of atoms.

Geometry as POSCAR:
```
LiNdMg
1.0
3.5511 0.0000 0.0000
0.0000 3.5459 0.0000
-0.0065 0.0000 12.4606
Li Nd Mg
2 2 2
Direct
0.0000 0.0000 0.0000
0.4994 0.5000 0.1313
0.9997 0.0000 0.6741
0.4991 0.5000 0.4576
0.4995 0.5000 0.8670
0.9983 0.0000 0.2649
```


The following is a PBE-GGA calculation of a geometry-optimized LiNd2Mg6 structure, from Alexandria.

Properties
As for the crystal system: monoclinic. As for the final energy: -2.384 eV per atom. For the energy of formation, the calculation gives -0.049 eV/atom. The magnetic moment is 0.00 μB/cell.

Geometry as POSCAR:
```
LiNd2Mg6
1.0
6.0866 -3.3526 0.0000
6.0866 3.3526 0.0000
-0.5263 0.0000 5.5815
Li Nd Mg
1 2 6
Direct
0.0000 0.0000 0.0000
0.3475 0.3475 0.7979
0.6525 0.6525 0.2021
0.1483 0.6570 0.3036
0.1893 0.1893 0.2702
0.3430 0.8517 0.6964
0.6570 0.1483 0.3036
0.8107 0.8107 0.7298
0.8517 0.3430 0.6964
```


The following is a PBE-GGA calculation of a geometry-optimized Li3Nd2Mg2 structure, from Alexandria.

Properties
As for the crystal system: orthorhombic. As for the final energy: -2.606 eV per atom. For the energy of formation, the calculation gives 0.032 eV/atom. The magnetic moment is 0.00 μB/cell.

Geometry as POSCAR:
```
Li3Nd2Mg2
1.0
5.1541 0.0000 0.0000
0.0000 22.0298 0.0000
0.0000 0.0000 3.2960
Li Nd Mg
6 4 4
Direct
0.0000 0.0000 0.0000
0.0000 0.4316 0.5000
0.0000 0.5684 0.5000
0.5000 0.0684 0.5000
0.5000 0.5000 0.0000
0.5000 0.9316 0.5000
0.0000 0.1510 0.0000
0.0000 0.8490 0.0000
0.5000 0.3490 0.0000
0.5000 0.6510 0.0000
0.0000 0.2870 0.5000
0.0000 0.7130 0.5000
0.5000 0.2130 0.5000
0.5000 0.7870 0.5000
```


The following is a PBE-GGA calculation of a geometry-optimized Li2NdMg2 structure, from Alexandria.

Properties
As for the crystal system: monoclinic. As for the final energy: -2.397 eV per atom. For the energy of formation, the calculation gives -0.040 eV/atom. The magnetic moment is 0.00 μB/cell. For the energy above the most stable polymorph in this dataset, the calculation gives 0.00 kcal/mol of atoms.

Geometry as POSCAR:
```
Li2NdMg2
1.0
19.7740 0.0000 0.0000
0.0000 3.5301 0.0000
-0.6199 0.0000 3.4611
Li Nd Mg
4 2 4
Direct
0.2074 0.0000 0.2068
0.2926 0.5000 0.7932
0.7074 0.5000 0.2068
0.7926 0.0000 0.7932
0.0000 0.0000 0.0000
0.5000 0.5000 0.0000
0.1213 0.5000 0.6208
0.3787 0.0000 0.3792
0.6213 0.0000 0.6208
0.8787 0.5000 0.3792
```


The following is a PBE-GGA calculation of a geometry-optimized LiNdMg3 structure, from Alexandria.

Properties
As for the crystal system: cubic. As for the final energy: -2.235 eV per atom. For the energy of formation, the calculation gives 0.058 eV/atom. The magnetic moment is 0.00 μB/cell. For the energy above the most stable polymorph in this dataset, the calculation gives 0.00 kcal/mol of atoms.

Geometry as POSCAR:
```
LiNdMg3
1.0
4.9641 0.0000 0.0000
0.0000 4.9641 0.0000
0.0000 0.0000 4.9641
Li Nd Mg
1 1 3
Direct
0.0000 0.0000 0.0000
0.5000 0.5000 0.5000
0.0000 0.0000 0.5000
0.0000 0.5000 0.0000
0.5000 0.0000 0.0000
```


The following is a PBE-GGA calculation of a geometry-optimized LiNd6Mg5 structure, from Alexandria.

Properties
As for the crystal system: orthorhombic. As for the final energy: -3.285 eV per atom. For the energy of formation, the calculation gives -0.077 eV/atom. The magnetic moment is 0.00 μB/cell.

Geometry as POSCAR:
```
LiNd6Mg5
1.0
2.7389 -8.2073 0.0000
2.7389 8.2073 0.0000
0.0000 0.0000 7.7975
Li Nd Mg
1 6 5
Direct
0.0000 0.0000 0.0000
0.1658 0.8342 0.2515
0.1658 0.8342 0.7485
0.5000 0.5000 0.2505
0.5000 0.5000 0.7495
0.8342 0.1658 0.2515
0.8342 0.1658 0.7485
0.0000 0.0000 0.5000
0.3312 0.6688 0.0000
0.3325 0.6675 0.5000
0.6675 0.3325 0.5000
0.6688 0.3312 0.0000
```


The following is a PBE-GGA calculation of a geometry-optimized LiNdMg2 structure, from Alexandria.

Properties
As for the crystal system: cubic. As for the final energy: -2.487 eV per atom. For the energy of formation, the calculation gives -0.020 eV/atom. The magnetic moment is 0.00 μB/cell. For the energy above the most stable polymorph in this dataset, the calculation gives 1.11 kcal/mol of atoms.

Geometry as POSCAR:
```
LiNdMg2
1.0
7.4158 0.0000 0.0000
0.0000 7.4158 0.0000
0.0000 0.0000 7.4158
Li Nd Mg
4 4 8
Direct
0.0000 0.0000 0.0000
0.0000 0.5000 0.5000
0.5000 0.0000 0.5000
0.5000 0.5000 0.0000
0.0000 0.0000 0.5000
0.0000 0.5000 0.0000
0.5000 0.0000 0.0000
0.5000 0.5000 0.5000
0.2500 0.2500 0.2500
0.2500 0.2500 0.7500
0.2500 0.7500 0.2500
0.2500 0.7500 0.7500
0.7500 0.2500 0.2500
0.7500 0.2500 0.7500
0.7500 0.7500 0.2500
0.7500 0.7500 0.7500
```